No. 1
{
  "formula": "TaMnCu",
  "functional": "PBE",
  "state": "relaxed",
  "cell": [[5.873, 0.000, 0.000], [0.000, 5.873, 0.000], [0.000, 0.000, 5.873]],
  "species": ["Ta", "Ta", "Ta", "Ta", "Mn", "Mn", "Mn", "Mn", "Cu", "Cu", "Cu", "Cu"],
  "frac_coords": [[0.000, 0.000, 0.000], [0.000, 0.500, 0.500], [0.500, 0.000, 0.500], [0.500, 0.500, 0.000], [0.250, 0.250, 0.250], [0.250, 0.750, 0.750], [0.750, 0.250, 0.750], [0.750, 0.750, 0.250], [0.250, 0.250, 0.750], [0.250, 0.750, 0.250], [0.750, 0.250, 0.250], [0.750, 0.750, 0.750]],
  "magnetic_moment_mub_per_cell": 4.0,
  "ef_ev_per_fu": 2.88,
  "polymorph_energy_kj_per_mol_fu": 245.7
}

***

No. 2
{
  "formula": "CaMgH8Pd2",
  "functional": "PBE",
  "state": "relaxed",
  "cell": [[2.456, 1.418, 5.488], [-2.456, 1.418, 5.488], [0.000, -2.836, 5.488]],
  "species": ["Ca", "Mg", "H", "H", "H", "H", "H", "H", "H", "H", "Pd", "Pd"],
  "frac_coords": [[0.000, 0.000, 0.000], [0.500, 0.500, 0.500], [0.105, 0.796, 0.409], [0.204, 0.591, 0.895], [0.317, 0.317, 0.317], [0.409, 0.105, 0.796], [0.591, 0.895, 0.204], [0.683, 0.683, 0.683], [0.796, 0.409, 0.105], [0.895, 0.204, 0.591], [0.219, 0.219, 0.219], [0.781, 0.781, 0.781]],
  "magnetic_moment_mub_per_cell": 0.0,
  "total_energy_ev_per_atom": -3.49
}

***

No. 3
{
  "formula": "TbSc2In2Hg2",
  "functional": "PBE",
  "state": "relaxed",
  "cell": [[2.404, 1.388, 8.546], [-2.404, 1.388, 8.546], [0.000, -2.776, 8.546]],
  "species": ["Tb", "Sc", "Sc", "In", "In", "Hg", "Hg"],
  "frac_coords": [[0.000, 0.000, 0.000], [0.136, 0.136, 0.136], [0.864, 0.864, 0.864], [0.266, 0.266, 0.266], [0.734, 0.734, 0.734], [0.437, 0.437, 0.437], [0.563, 0.563, 0.563]],
  "magnetic_moment_mub_per_cell": 0.0,
  "ef_ev_per_fu": -1.82
}

***

No. 4
{
  "formula": "MgAlGaS4",
  "functional": "PBE",
  "state": "relaxed",
  "cell": [[-3.594, 3.648, 5.115], [3.594, -3.648, 5.115], [3.594, 3.648, -5.115]],
  "species": ["Mg", "Mg", "Al", "Al", "Ga", "Ga", "S", "S", "S", "S", "S", "S", "S", "S"],
  "frac_coords": [[0.500, 0.000, 0.000], [0.500, 0.500, 0.500], [0.000, 0.000, 0.000], [0.500, 0.000, 0.500], [0.113, 0.363, 0.750], [0.887, 0.637, 0.250], [0.245, 0.235, 0.009], [0.251, 0.234, 0.483], [0.251, 0.768, 0.017], [0.274, 0.765, 0.509], [0.726, 0.235, 0.491], [0.749, 0.232, 0.983], [0.749, 0.766, 0.517], [0.755, 0.765, 0.991]],
  "magnetic_moment_mub_per_cell": 0.0,
  "formation_energy_uncorrected_mev_per_atom": -1007
}

***

No. 5
{
  "formula": "TbTm3Th2As6",
  "functional": "PBE",
  "state": "relaxed",
  "cell": [[9.017, -2.077, 0.000], [9.017, 2.077, 0.000], [-1.860, 0.000, 8.053]],
  "species": ["Tb", "Tm", "Tm", "Tm", "Th", "Th", "As", "As", "As", "As", "As", "As"],
  "frac_coords": [[0.000, 0.000, 0.000], [0.000, 0.000, 0.500], [0.334, 0.334, 0.166], [0.666, 0.666, 0.834], [0.335, 0.335, 0.670], [0.665, 0.665, 0.330], [0.164, 0.164, 0.590], [0.168, 0.168, 0.075], [0.497, 0.497, 0.252], [0.503, 0.503, 0.748], [0.832, 0.832, 0.925], [0.836, 0.836, 0.410]],
  "magnetic_moment_mub_per_cell": 0.0,
  "ef_ev_per_fu": -17.72
}

***

No. 6
{
  "formula": "PrDyAlNi",
  "functional": "PBE",
  "state": "relaxed",
  "cell": [[7.187, 0.000, 0.000], [0.000, 7.187, 0.000], [0.000, 0.000, 7.187]],
  "species": ["Pr", "Pr", "Pr", "Pr", "Dy", "Dy", "Dy", "Dy", "Al", "Al", "Al", "Al", "Ni", "Ni", "Ni", "Ni"],
  "frac_coords": [[0.000, 0.000, 0.000], [0.000, 0.500, 0.500], [0.500, 0.000, 0.500], [0.500, 0.500, 0.000], [0.000, 0.000, 0.500], [0.000, 0.500, 0.000], [0.500, 0.000, 0.000], [0.500, 0.500, 0.500], [0.250, 0.250, 0.250], [0.250, 0.750, 0.750], [0.750, 0.250, 0.750], [0.750, 0.750, 0.250], [0.250, 0.250, 0.750], [0.250, 0.750, 0.250], [0.750, 0.250, 0.250], [0.750, 0.750, 0.750]],
  "magnetic_moment_mub_per_cell": 0.0,
  "ef_ev_per_fu": -0.93
}

***

No. 7
{
  "formula": "AgPRu2",
  "functional": "PBE",
  "state": "relaxed",
  "cell": [[3.863, 0.000, 0.000], [0.000, 3.863, 0.000], [0.000, 0.000, 7.768]],
  "species": ["Ag", "Ag", "P", "P", "Ru", "Ru", "Ru", "Ru"],
  "frac_coords": [[0.000, 0.000, 0.000], [0.500, 0.500, 0.500], [0.000, 0.500, 0.750], [0.500, 0.000, 0.250], [0.000, 0.000, 0.500], [0.000, 0.500, 0.250], [0.500, 0.000, 0.750], [0.500, 0.500, 0.000]],
  "magnetic_moment_mub_per_cell": 0.0,
  "ef_ev_per_fu": 2.06,
  "polymorph_energy_kj_per_mol_fu": 207.8
}

***

No. 8
{
  "formula": "Ti2GaPd7",
  "functional": "PBE",
  "state": "relaxed",
  "cell": [[3.625, -6.367, 0.000], [3.625, 6.367, 0.000], [0.000, 0.000, 4.180]],
  "species": ["Ti", "Ti", "Ga", "Pd", "Pd", "Pd", "Pd", "Pd", "Pd", "Pd"],
  "frac_coords": [[0.197, 0.803, 0.000], [0.803, 0.197, 0.000], [0.500, 0.500, 0.500], [0.000, 0.000, 0.000], [0.202, 0.422, 0.000], [0.297, 0.703, 0.500], [0.422, 0.202, 0.000], [0.578, 0.798, 0.000], [0.703, 0.297, 0.500], [0.798, 0.578, 0.000]],
  "magnetic_moment_mub_per_cell": 0.0,
  "ef_ev_per_fu": -0.02
}

***

No. 9
{
  "formula": "BiAs3F",
  "functional": "PBE",
  "state": "relaxed",
  "cell": [[5.490, 0.000, 0.000], [0.000, 5.490, 0.000], [0.000, 0.000, 5.490]],
  "species": ["Bi", "As", "As", "As", "F"],
  "frac_coords": [[0.000, 0.000, 0.000], [0.000, 0.000, 0.500], [0.000, 0.500, 0.000], [0.500, 0.000, 0.000], [0.500, 0.500, 0.500]],
  "magnetic_moment_mub_per_cell": 0.0,
  "polymorph_energy_kj_per_mol_fu": 395.5,
  "formation_energy_uncorrected_mev_per_atom": 991
}

***

No. 10
{
  "formula": "NaMoSeBr2",
  "functional": "PBE",
  "state": "relaxed",
  "cell": [[5.450, 0.000, 0.000], [0.000, 5.450, 0.000], [0.000, 0.000, 4.905]],
  "species": ["Na", "Mo", "Se", "Br", "Br"],
  "frac_coords": [[0.000, 0.000, 0.000], [0.500, 0.500, 0.500], [0.500, 0.500, 0.000], [0.000, 0.500, 0.500], [0.500, 0.000, 0.500]],
  "magnetic_moment_mub_per_cell": 2.7,
  "polymorph_energy_kj_per_mol_fu": 0.0,
  "formation_energy_uncorrected_mev_per_atom": -415
}

***

No. 11
{
  "formula": "Co2AsW2",
  "functional": "PBE",
  "state": "relaxed",
  "cell": [[3.909, 0.000, 0.000], [0.000, 3.909, 0.000], [0.000, 0.000, 10.287]],
  "species": ["Co", "Co", "Co", "Co", "As", "As", "W", "W", "W", "W"],
  "frac_coords": [[0.000, 0.000, 0.106], [0.000, 0.000, 0.894], [0.500, 0.500, 0.394], [0.500, 0.500, 0.606], [0.000, 0.000, 0.500], [0.500, 0.500, 0.000], [0.000, 0.500, 0.250], [0.000, 0.500, 0.750], [0.500, 0.000, 0.250], [0.500, 0.000, 0.750]],
  "magnetic_moment_mub_per_cell": 0.0,
  "ef_ev_per_fu": 2.89
}

***

No. 12
{
  "formula": "LiLaTm2Se4",
  "functional": "PBE",
  "state": "relaxed",
  "cell": [[7.065, 0.000, 0.000], [0.000, 4.070, 0.000], [-2.347, 0.000, 6.793]],
  "species": ["Li", "La", "Tm", "Tm", "Se", "Se", "Se", "Se"],
  "frac_coords": [[0.000, 0.000, 0.000], [0.500, 0.500, 0.000], [0.000, 0.500, 0.500], [0.500, 0.000, 0.500], [0.234, 0.000, 0.736], [0.244, 0.500, 0.259], [0.756, 0.500, 0.741], [0.766, 0.000, 0.264]],
  "magnetic_moment_mub_per_cell": 0.0,
  "formation_energy_uncorrected_mev_per_atom": -1751
}

***

No. 13
{
  "formula": "DyY2Tm",
  "functional": "PBE",
  "state": "relaxed",
  "cell": [[8.005, 0.000, 0.000], [0.000, 8.005, 0.000], [0.000, 0.000, 8.005]],
  "species": ["Dy", "Dy", "Dy", "Dy", "Y", "Y", "Y", "Y", "Y", "Y", "Y", "Y", "Tm", "Tm", "Tm", "Tm"],
  "frac_coords": [[0.000, 0.000, 0.000], [0.000, 0.500, 0.500], [0.500, 0.000, 0.500], [0.500, 0.500, 0.000], [0.250, 0.250, 0.250], [0.250, 0.250, 0.750], [0.250, 0.750, 0.250], [0.250, 0.750, 0.750], [0.750, 0.250, 0.250], [0.750, 0.250, 0.750], [0.750, 0.750, 0.250], [0.750, 0.750, 0.750], [0.000, 0.000, 0.500], [0.000, 0.500, 0.000], [0.500, 0.000, 0.000], [0.500, 0.500, 0.500]],
  "magnetic_moment_mub_per_cell": 0.2,
  "ef_ev_per_fu": 0.55,
  "polymorph_energy_kj_per_mol_fu": 47.7
}

***

No. 14
{
  "formula": "Ho4Si3Pd",
  "functional": "PBE",
  "state": "relaxed",
  "cell": [[3.897, 0.000, 0.000], [0.000, 4.191, 0.000], [0.000, 0.000, 10.714]],
  "species": ["Ho", "Ho", "Ho", "Ho", "Si", "Si", "Si", "Pd"],
  "frac_coords": [[0.000, 0.000, 0.000], [0.000, 0.500, 0.496], [0.500, 0.000, 0.281], [0.500, 0.500, 0.777], [0.000, 0.000, 0.708], [0.000, 0.500, 0.219], [0.500, 0.000, 0.563], [0.500, 0.500, 0.059]],
  "magnetic_moment_mub_per_cell": 0.0,
  "formation_energy_uncorrected_mev_per_atom": -818
}

***

No. 15
{
  "formula": "Dy2PaSi",
  "functional": "PBE",
  "state": "relaxed",
  "cell": [[3.347, 0.000, 0.000], [-1.673, 2.898, 0.000], [0.000, 0.000, 33.764]],
  "species": ["Dy", "Dy", "Dy", "Dy", "Dy", "Dy", "Pa", "Pa", "Pa", "Si", "Si", "Si"],
  "frac_coords": [[0.000, 0.000, 0.085], [0.000, 0.000, 0.915], [0.333, 0.667, 0.582], [0.333, 0.667, 0.751], [0.667, 0.333, 0.249], [0.667, 0.333, 0.418], [0.000, 0.000, 0.500], [0.333, 0.667, 0.167], [0.667, 0.333, 0.833], [0.000, 0.000, 0.000], [0.333, 0.667, 0.667], [0.667, 0.333, 0.333]],
  "magnetic_moment_mub_per_cell": 0.0,
  "polymorph_energy_kj_per_mol_fu": 185.1,
  "formation_energy_uncorrected_mev_per_atom": 366
}

***

No. 16
{
  "formula": "PmHoTmLu",
  "functional": "PBE",
  "state": "relaxed",
  "cell": [[7.959, 0.000, 0.000], [0.000, 7.959, 0.000], [0.000, 0.000, 7.959]],
  "species": ["Pm", "Pm", "Pm", "Pm", "Ho", "Ho", "Ho", "Ho", "Tm", "Tm", "Tm", "Tm", "Lu", "Lu", "Lu", "Lu"],
  "frac_coords": [[0.000, 0.000, 0.000], [0.000, 0.500, 0.500], [0.500, 0.000, 0.500], [0.500, 0.500, 0.000], [0.000, 0.000, 0.500], [0.000, 0.500, 0.000], [0.500, 0.000, 0.000], [0.500, 0.500, 0.500], [0.250, 0.250, 0.750], [0.250, 0.750, 0.250], [0.750, 0.250, 0.250], [0.750, 0.750, 0.750], [0.250, 0.250, 0.250], [0.250, 0.750, 0.750], [0.750, 0.250, 0.750], [0.750, 0.750, 0.250]],
  "magnetic_moment_mub_per_cell": 0.0,
  "ef_ev_per_fu": 0.44
}

***

No. 17
{
  "formula": "SnPdRh",
  "functional": "PBE",
  "state": "relaxed",
  "cell": [[4.381, 0.000, 0.000], [-2.190, 3.794, 0.000], [0.000, 0.000, 3.073]],
  "species": ["Sn", "Pd", "Rh"],
  "frac_coords": [[0.000, 0.000, 0.000], [0.333, 0.667, 0.285], [0.667, 0.333, 0.702]],
  "magnetic_moment_mub_per_cell": 0.0,
  "ef_ev_per_fu": -0.91
}